No. 1
Material: Ca3TeMo
Method: DFT, GGA-PBEsol
State: optimized geometry

Calculated values
* ρ: 3.0 g/cm3
* E_form (uncorrected): 0.578 eV per atom

a = 5.7701 Å, b = 5.7701 Å, c = 5.7701 Å
α = 90.00°, β = 90.00°, γ = 90.00°
Atoms (fractional coordinates):
Ca  0.0000  0.0000  0.5000
Ca  0.0000  0.5000  0.0000
Ca  0.5000  0.0000  0.0000
Te  0.0000  0.0000  0.0000
Mo  0.5000  0.5000  0.5000

No. 2
Material: Ta2IrRu
Method: DFT, GGA-PBEsol
State: optimized geometry

Calculated values
* ρ: 17.5 g/cm3
* total energy: -11.38 eV/atom

a = 4.4455 Å, b = 4.4455 Å, c = 4.4455 Å
α = 60.00°, β = 60.00°, γ = 60.00°
Atoms (fractional coordinates):
Ta  0.0000  0.0000  0.0000
Ta  0.2500  0.2500  0.2500
Ir  0.5000  0.5000  0.5000
Ru  0.7500  0.7500  0.7500

No. 3
Material: CrIr4Pb
Method: DFT, GGA-PBEsol
State: optimized geometry

Calculated values
* ρ: 17.0 g/cm3
* total energy: -8.37 eV/atom

a = 5.2123 Å, b = 5.2123 Å, c = 5.2123 Å
α = 60.00°, β = 60.00°, γ = 60.00°
Atoms (fractional coordinates):
Cr  0.0000  0.0000  0.0000
Ir  0.1239  0.6254  0.6254
Ir  0.6254  0.1239  0.6254
Ir  0.6254  0.6254  0.1239
Ir  0.6254  0.6254  0.6254
Pb  0.2500  0.2500  0.2500

No. 4
Material: MoAsP2
Method: DFT, GGA-PBEsol
State: optimized geometry

Calculated values
* ρ: 6.3 g/cm3
* total energy: -6.86 eV/atom

a = 4.5882 Å, b = 4.5882 Å, c = 3.6112 Å
α = 105.55°, β = 105.55°, γ = 112.15°
Atoms (fractional coordinates):
Mo  0.0000  0.0000  0.0000
As  0.5000  0.5000  0.0000
P  0.0000  0.5000  0.5000
P  0.5000  0.0000  0.5000